The following is a DFT calculation (PBE-GGA) of a relaxed NdCu6O8 crystal.

Results
formation energy without anion corrections	-14.11	eV/f.u.
ΔE to the lowest computed polymorph	77	meV/atom

Unit cell a=7.8778 b=7.8778 c=9.6149 alpha=90.00 beta=90.00 gamma=120.00
Space group R-3 (No. 148, hexagonal axes)
One atom of each set of equivalent atoms:
Nd 0.0000 0.0000 0.0000 [3 per cell]
Cu 0.0109 0.2552 0.2558 [18 per cell]
O 0.0000 0.0000 0.2497 [6 per cell]
O 0.0016 0.5012 0.7499 [18 per cell]

***

The following is a DFT calculation (PBE-GGA) of a relaxed YTlP crystal.

Results
ΔH_f (0 K)	-0.486	eV per atom
ΔE to the lowest computed polymorph	157	meV/atom

Unit cell a=4.2702 b=4.2702 c=5.3334 alpha=90.00 beta=90.00 gamma=120.00
Space group P3m1 (No. 156)
One atom of each set of equivalent atoms:
Y 0.0000 0.0000 0.0000 [1 per cell]
Tl 0.6667 0.3333 0.5417 [1 per cell]
P 0.3333 0.6667 0.1860 [1 per cell]

***

The following is a DFT calculation (PBE-GGA) of a relaxed Os3Rh crystal.

Results
ΔH_f (0 K)	0.141	eV per atom

Unit cell a=2.7354 b=2.7354 c=26.5688 alpha=90.00 beta=90.00 gamma=120.00
Space group R-3m (No. 166, hexagonal axes)
One atom of each set of equivalent atoms:
Os 0.0000 0.0000 0.0000 [3 per cell]
Os 0.0000 0.0000 0.2509 [6 per cell]
Rh 0.0000 0.0000 0.5000 [3 per cell]

***

The following is a DFT calculation (PBE-GGA) of a relaxed TbPmH2 crystal.

Results
ΔE to the lowest computed polymorph	0	meV/atom

Unit cell a=3.5493 b=3.5493 c=17.3245 alpha=90.00 beta=90.00 gamma=120.00
Space group R-3m (No. 166, hexagonal axes)
One atom of each set of equivalent atoms:
Tb 0.0000 0.0000 0.0000 [3 per cell]
Pm 0.0000 0.0000 0.5000 [3 per cell]
H 0.0000 0.0000 0.2539 [6 per cell]

***

Calculated magnetization, 0.00 0.00 0.00 0.00 Bohr magnetons per cell (same order as the records).